A plane-wave DFT calculation with GGA-PBE was carried out for crystalline Dy2FeSi4 at its relaxed geometry.

Output
Total magnetization ... 0.001 μB per cell
Volume ... 18.4 Å³/atom
Calculated total energy ... -6.15 eV per atom

abc: 3.9777 4.0384 16.0442
angles: 90.00 90.00 90.00
Space group Amm2 (No. 38)
Inequivalent atoms, fractional coordinates:
Dy: 0.0000 0.0000 0.0000 [2 per cell]
Dy: 0.5000 0.0000 0.2175 [2 per cell]
Fe: 0.0000 0.0000 0.3560 [2 per cell]
Si: 0.0000 0.0000 0.6457 [2 per cell]
Si: 0.0000 0.0000 0.7992 [2 per cell]
Si: 0.5000 0.0000 0.4139 [2 per cell]
Si: 0.5000 0.0000 0.5634 [2 per cell]

A plane-wave DFT calculation with GGA-PBE was carried out for crystalline DyFe10Si2 at its relaxed geometry.

Output
Total magnetization ... 40.766 μB per cell
Volume ... 12.6 Å³/atom
Excess energy over the best structure of this formula in the dataset ... 0 meV/atom
Calculated total energy ... -7.95 eV per atom

abc: 4.7440 8.2849 8.3419
angles: 90.00 90.00 90.00
Space group Immm (No. 71)
Inequivalent atoms, fractional coordinates:
Dy: 0.0000 0.0000 0.0000 [2 per cell]
Fe: 0.0000 0.0000 0.3611 [4 per cell]
Fe: 0.0000 0.2907 0.5000 [4 per cell]
Fe: 0.0000 0.3547 0.0000 [4 per cell]
Fe: 0.2500 0.2500 0.2500 [8 per cell]
Si: 0.0000 0.5000 0.2652 [4 per cell]

A plane-wave DFT calculation with GGA-PBE was carried out for crystalline DyFe4Si4 at its relaxed geometry.

Output
Total magnetization ... 5.935 μB per cell
Volume ... 14.2 Å³/atom
Calculated total energy ... -7.09 eV per atom

abc: 7.7090 7.7090 4.2951
angles: 90.00 90.00 90.00
Space group P4_2/n (No. 86, origin choice 2)
Inequivalent atoms, fractional coordinates:
Dy: 0.2500 0.2500 0.2500 [2 per cell]
Fe: 0.1312 0.8638 0.6959 [8 per cell]
Si: 0.0427 0.9044 0.1995 [8 per cell]

A plane-wave DFT calculation with GGA-PBE was carried out for crystalline DyFe2Si3 at its relaxed geometry.

Output
Total magnetization ... 0.002 μB per cell
Volume ... 14.4 Å³/atom
Calculated total energy ... -6.90 eV per atom

abc: 9.2711 7.2018 5.1704
angles: 90.00 90.00 90.00
Space group Cmcm (No. 63)
Inequivalent atoms, fractional coordinates:
Dy: 0.0000 0.1592 0.2500 [4 per cell]
Fe: 0.2008 0.5000 0.0000 [8 per cell]
Si: 0.0000 0.4396 0.7500 [4 per cell]
Si: 0.1869 0.2143 0.7500 [8 per cell]

A plane-wave DFT calculation with GGA-PBE was carried out for crystalline Dy2Fe3Si5 at its relaxed geometry.

Output
Total magnetization ... 0.000 μB per cell
Volume ... 14.7 Å³/atom
Excess energy over the best structure of this formula in the dataset ... 0 meV/atom
Calculated total energy ... -6.87 eV per atom

abc: 10.3561 10.3561 5.4776
angles: 90.00 90.00 90.00
Space group P4/mnc (No. 128)
Inequivalent atoms, fractional coordinates:
Dy: 0.0692 0.2362 0.0000 [8 per cell]
Fe: 0.0000 0.5000 0.2500 [4 per cell]
Fe: 0.1231 0.8550 0.5000 [8 per cell]
Si: 0.0000 0.0000 0.2691 [4 per cell]
Si: 0.0219 0.3200 0.5000 [8 per cell]
Si: 0.1775 0.6775 0.2500 [8 per cell]

A plane-wave DFT calculation with GGA-PBE was carried out for crystalline Dy2Fe12Si7 at its relaxed geometry.

Output
Total magnetization ... 10.548 μB per cell
Volume ... 12.8 Å³/atom
Calculated total energy ... -7.50 eV per atom

abc: 9.1290 9.1290 3.7351
angles: 90.00 90.00 120.00
Space group P-6 (No. 174)
Inequivalent atoms, fractional coordinates:
Dy: 0.0000 0.0000 0.0000 [1 per cell]
Dy: 0.3333 0.6667 0.5000 [1 per cell]
Fe: 0.0576 0.2956 0.5000 [3 per cell]
Fe: 0.1084 0.7364 0.0000 [3 per cell]
Fe: 0.3867 0.1808 0.0000 [3 per cell]
Fe: 0.5561 0.4352 0.5000 [3 per cell]
Si: 0.0578 0.4602 0.0000 [3 per cell]
Si: 0.2700 0.2184 0.5000 [3 per cell]
Si: 0.6667 0.3333 0.0000 [1 per cell]